# 1
Here is an optimized crystal structure of K2LiVSe4 from Alexandria. Energies are from PBE.

Output
total magnetic moment: 0.000 μB/f.u.
raw formation energy: -1.031 eV/atom
DFT total energy: -4.43 eV/atom
space-group type: No. 70

Unit cell a=5.9342 b=7.2779 c=12.5216 alpha=84.46 beta=76.29 gamma=65.94
Closest atoms and distances in Å follow each position.
Element x y z (fractional)
1 Se 0.8779 0.7993 0.8909  1 V 2.30, 1 Li 2.50
2 Se 0.8721 0.7007 0.6091  1 V 2.30, 1 Li 2.50
3 Se 0.5680 0.2007 0.1091  1 V 2.30, 1 Li 2.50
4 Se 0.4272 0.7007 0.3909  1 V 2.30, 1 Li 2.50
5 Se 0.1820 0.2993 0.3909  1 V 2.30, 1 Li 2.50
6 Se 0.3228 0.7993 0.1091  1 V 2.30, 1 Li 2.50
7 Se 0.5188 0.2993 0.6091  1 V 2.30, 1 Li 2.50
8 Se 0.2312 0.2007 0.8909  1 V 2.30, 1 Li 2.50
9 K 0.1810 0.0000 0.6380  8 Se 3.46-3.73
10 K 0.9310 0.5000 0.1380  8 Se 3.46-3.73
11 K 0.8190 0.0000 0.3620  8 Se 3.46-3.73
12 K 0.5690 0.5000 0.8620  8 Se 3.46-3.73
13 Li 0.7500 0.5000 0.5000  4 Se 2.50
14 Li 0.0000 0.0000 0.0000  4 Se 2.50
15 V 0.2500 0.5000 0.5000  4 Se 2.30
16 V 0.5000 0.0000 0.0000  4 Se 2.30

***

# 2
Here is an optimized crystal structure of K3Li2WSe6 from Alexandria. Energies are from PBE.

Output
total magnetic moment: 0.001 μB/f.u.
raw formation energy: -0.735 eV/atom
DFT total energy: -4.15 eV/atom
space-group type: No. 12

Unit cell a=6.8764 b=6.8764 c=7.8633 alpha=98.33 beta=98.33 gamma=119.95
Closest atoms and distances in Å follow each position.
Element x y z (fractional)
1 W 0.0000 0.0000 0.0000  6 Se 2.55
2 K 0.8265 0.1735 0.5000  6 Se 3.23-3.35
3 K 0.5000 0.5000 0.5000  6 Se 3.23-3.40
4 K 0.1735 0.8265 0.5000  6 Se 3.23-3.35
5 Se 0.3719 0.0633 0.1881  1 W 2.55, 2 Li 2.77-2.78
6 Se 0.6281 0.9367 0.8119  1 W 2.55, 2 Li 2.77-2.78
7 Se 0.2421 0.2421 0.8087  1 W 2.55, 2 Li 2.79
8 Se 0.7579 0.7579 0.1913  1 W 2.55, 2 Li 2.79
9 Se 0.9367 0.6281 0.8119  1 W 2.55, 2 Li 2.77-2.78
10 Se 0.0633 0.3719 0.1881  1 W 2.55, 2 Li 2.77-2.78
11 Li 0.6657 0.3343 0.0000  6 Se 2.77-2.79
12 Li 0.3343 0.6657 0.0000  6 Se 2.77-2.79